1.
Below is a relaxed structure of Sr4BiS2, with properties calculated at the PBE level.

a = 4.5135 Å, b = 7.4888 Å, c = 14.6719 Å
α = 90.00°, β = 90.00°, γ = 107.54°
Closest atoms and distances in Å follow each position.
Fractional positions:
Sr (0.7663, 0.5326, 0.1187)  3 S 2.94-3.10
Sr (0.0621, 0.1242, 0.2500)  2 S 3.02, 2 Bi 3.37
S (0.1326, 0.2652, 0.4443)  6 Sr 2.94-3.10
Sr (0.2337, 0.4674, 0.6187)  3 S 2.94-3.10
Sr (0.9379, 0.8758, 0.7500)  2 S 3.02, 2 Bi 3.37
Sr (0.7663, 0.5326, 0.3813)  3 S 2.94-3.10
S (0.1326, 0.2652, 0.0557)  6 Sr 2.94-3.10
S (0.8674, 0.7348, 0.5557)  6 Sr 2.94-3.10
Bi (0.6128, 0.2256, 0.7500)  6 Sr 3.37-3.43
Bi (0.3872, 0.7744, 0.2500)  6 Sr 3.37-3.43
Sr (0.5000, 0.0000, 0.0000)  4 S 3.06
Sr (0.5000, 0.0000, 0.5000)  4 S 3.06
S (0.8674, 0.7348, 0.9443)  6 Sr 2.94-3.10
Sr (0.2337, 0.4674, 0.8813)  3 S 2.94-3.10

Summary:
The raw total energy comes out at -58.65 eV for the cell shown. Its uncorrected formation energy is -1.494 eV per atom. The calculation puts the magnetization at 1.884 μB/cell.



2.
Below is a relaxed structure of SrBiS3, with properties calculated at the PBE level.

a = 5.4118 Å, b = 5.4118 Å, c = 5.4118 Å
α = 90.00°, β = 90.00°, γ = 90.00°
Closest atoms and distances in Å follow each position.
Fractional positions:
Bi (0.5000, 0.5000, 0.5000)  12 S 3.83
S (0.5000, 0.0000, 0.0000)  2 Sr 2.71
S (0.0000, 0.5000, 0.0000)  2 Sr 2.71
Sr (0.0000, 0.0000, 0.0000)  6 S 2.71
S (0.0000, 0.0000, 0.5000)  2 Sr 2.71

Summary:
The raw total energy comes out at -16.83 eV for the cell shown. Its uncorrected formation energy is 0.222 eV per atom. The calculation puts the magnetization at 1.004 μB/cell.



3.
Below is a relaxed structure of SrBi4S7, with properties calculated at the PBE level.

a = 4.0713 Å, b = 7.3453 Å, c = 11.8322 Å
α = 102.09°, β = 90.00°, γ = 106.09°
Closest atoms and distances in Å follow each position.
Fractional positions:
S (0.0185, 0.0370, 0.7951)  3 Bi 2.74-2.75, 1 Sr 3.01
Bi (0.0272, 0.0543, 0.0295)  6 S 2.75-3.02
S (0.7203, 0.4406, 0.3529)  2 Bi 2.75, 1 Sr 2.95
S (0.9471, 0.8941, 0.2354)  4 Bi 2.78-3.01
S (0.6836, 0.3671, 0.0228)  5 Bi 2.95-3.07
Bi (0.1222, 0.2444, 0.4332)  6 S 2.73-3.01
S (0.5181, 0.0362, 0.5429)  3 Bi 2.72-2.97, 2 Sr 2.97
Bi (0.6377, 0.2754, 0.7567)  5 S 2.72-3.00
Bi (0.3165, 0.6331, 0.1507)  5 S 2.65-2.95
S (0.3930, 0.7861, 0.9653)  3 Bi 2.65-2.77
S (0.2450, 0.4899, 0.6460)  3 Bi 2.73-3.00, 2 Sr 2.97
Sr (0.8709, 0.7418, 0.5695)  6 S 2.95-3.01

Summary:
The raw total energy comes out at -53.77 eV for the cell shown. Its uncorrected formation energy is -0.639 eV per atom. The calculation puts the magnetization at 0.000 μB/cell.



4.
Below is a relaxed structure of Sr3BiS4, with properties calculated at the PBE level.

a = 6.0947 Å, b = 6.0947 Å, c = 7.3502 Å
α = 114.49°, β = 114.49°, γ = 90.00°
Closest atoms and distances in Å follow each position.
Fractional positions:
S (0.7540, 0.7540, 0.5081)  1 Bi 2.93, 5 Sr 3.03-3.05
S (0.5000, 0.0000, 0.0000)  4 Sr 2.98-3.05, 2 Bi 3.05
Sr (0.5000, 0.5000, 0.0000)  6 S 3.03-3.05
Sr (0.2500, 0.7500, 0.5000)  6 S 2.98-3.05
Bi (0.0000, 0.0000, 0.0000)  6 S 2.93-3.05
S (0.0000, 0.5000, 0.0000)  4 Sr 2.98-3.05, 2 Bi 3.05
S (0.2460, 0.2460, 0.4919)  1 Bi 2.93, 5 Sr 3.03-3.05
Sr (0.7500, 0.2500, 0.5000)  6 S 2.98-3.05

Summary:
The raw total energy comes out at -38.25 eV for the cell shown. Its uncorrected formation energy is -1.602 eV per atom. The calculation puts the magnetization at 0.002 μB/cell.